(1)
# Cr2HgP2

A relaxed structure of Cr2HgP2 (GGA-PBE, the Alexandria database).

The formation energy is 137 meV per atom. The calculation puts the mass density at 8218 kg/m³. The distance to the lowest polymorph of the same formula comes out at 0.261 eV/atom. The value obtained for the raw total energy is -5.937 eV per atom. Its space-group type is P4/mbm (127). As for the total magnetization: 4.0 μB/f.u.

Cell: 7.1803 7.1803 2.8729 Å, 90.00 90.00 90.00°
With the nearest neighbours (Å) after each atom.
Sites, in units of the cell vectors:
Hg (0.5000, 0.5000, 0.0000)  4 P 2.78, 2 Hg 2.87
P (0.1383, 0.3617, 0.0000)  6 Cr 2.45-2.69
P (0.3617, 0.8617, 0.0000)  6 Cr 2.45-2.69
Cr (0.3618, 0.1382, 0.5000)  6 P 2.45-2.69
P (0.8617, 0.6383, 0.0000)  6 Cr 2.45-2.69
Cr (0.8618, 0.3618, 0.5000)  6 P 2.45-2.69
Cr (0.1382, 0.6382, 0.5000)  6 P 2.45-2.69
P (0.6383, 0.1383, 0.0000)  6 Cr 2.45-2.69
Hg (0.0000, 0.0000, 0.0000)  4 P 2.78, 2 Hg 2.87
Cr (0.6382, 0.8618, 0.5000)  6 P 2.45-2.69

=====

(2)
# CrHg3P

A relaxed structure of CrHg3P (GGA-PBE, the Alexandria database).

The formation energy is 739 meV per atom. The calculation puts the mass density at 8409 kg/m³. The distance to the lowest polymorph of the same formula comes out at 0.000 eV/atom. The value obtained for the raw total energy is -2.448 eV per atom. Its space-group type is Pm-3m (221). As for the total magnetization: 5.1 μB/f.u.

Cell: 5.1327 5.1327 5.1327 Å, 90.00 90.00 90.00°
With the nearest neighbours (Å) after each atom.
Sites, in units of the cell vectors:
Hg (0.0000, 0.0000, 0.5000)  2 P 2.57
P (0.0000, 0.0000, 0.0000)  6 Hg 2.57
Hg (0.5000, 0.0000, 0.0000)  2 P 2.57
Cr (0.5000, 0.5000, 0.5000)  12 Hg 3.63
Hg (0.0000, 0.5000, 0.0000)  2 P 2.57

=====

(3)
# CrHg4P

A relaxed structure of CrHg4P (GGA-PBE, the Alexandria database).

The formation energy is 714 meV per atom. The calculation puts the mass density at 10572 kg/m³. The value obtained for the raw total energy is -1.992 eV per atom. Its space-group type is F-43m (216). As for the total magnetization: 3.8 μB/f.u.

Cell: 5.8153 5.8153 5.8153 Å, 60.00 60.00 60.00°
With the nearest neighbours (Å) after each atom.
Sites, in units of the cell vectors:
Hg (0.3751, 0.3751, 0.8747)  6 Hg 2.91
Cr (0.0000, 0.0000, 0.0000)  12 Hg 3.41, 4 P 3.56
Hg (0.3751, 0.3751, 0.3751)  6 Hg 2.91
P (0.7500, 0.7500, 0.7500)  12 Hg 3.41, 4 Cr 3.56
Hg (0.8747, 0.3751, 0.3751)  6 Hg 2.91
Hg (0.3751, 0.8747, 0.3751)  6 Hg 2.91

=====

(4)
# Cr2HgP

A relaxed structure of Cr2HgP (GGA-PBE, the Alexandria database).

The formation energy is 614 meV per atom. The calculation puts the mass density at 9967 kg/m³. The distance to the lowest polymorph of the same formula comes out at 0.512 eV/atom. The value obtained for the raw total energy is -5.626 eV per atom. Its space-group type is Fm-3m (225). As for the total magnetization: 0.0 μB/f.u.

Cell: 4.2919 4.2919 4.2919 Å, 60.00 60.00 60.00°
With the nearest neighbours (Å) after each atom.
Sites, in units of the cell vectors:
Hg (0.5000, 0.5000, 0.5000)  8 Cr 2.63
Cr (0.7500, 0.7500, 0.7500)  4 P 2.63, 4 Hg 2.63
P (0.0000, 0.0000, 0.0000)  8 Cr 2.63
Cr (0.2500, 0.2500, 0.2500)  4 Hg 2.63, 4 P 2.63